(1)
A relaxed Sm3Ga2I2 crystal. Source: Alexandria, functional GGA-PBE.

a b c (Å): 4.1630 5.9046 9.6143
angles (deg): 105.33 89.99 110.65
With the nearest neighbours (Å) after each atom.
Element x y z (fractional)
Sm: 0.0000 0.0000 0.0000  6 Ga 3.06-3.39, 2 I 3.31
Sm: 0.7947 0.5897 0.2710  3 Ga 2.98-3.04, 3 I 3.25-3.26
Sm: 0.2053 0.4103 0.7290  3 Ga 2.98-3.04, 3 I 3.25-3.26
Ga: 0.6832 0.3663 0.9430  2 Ga 2.61
Ga: 0.3168 0.6337 0.0570  2 Ga 2.61
I: 0.8988 0.7972 0.6419  5 Sm 3.25-3.42
I: 0.1012 0.2028 0.3581  5 Sm 3.25-3.42

Properties
- E_tot (eV/atom) = -4.136
- calculated volume (Å³/cell) = 212.1

(2)
A relaxed TcTe2As crystal. Source: Alexandria, functional GGA-PBE.

a b c (Å): 4.9165 4.9148 4.9093
angles (deg): 69.64 72.36 110.41
With the nearest neighbours (Å) after each atom.
Element x y z (fractional)
As: 0.0000 0.5000 0.5000  4 Te 2.80, 2 Tc 2.90
Te: 0.0000 0.0000 0.0000  2 Tc 2.80, 2 As 2.80, 2 Te 2.90
Te: 0.5000 0.0000 0.5000  2 As 2.80, 2 Tc 2.80, 2 Te 2.90
Tc: 0.5000 0.5000 0.0000  4 Te 2.80, 2 As 2.90

Properties
- E_tot (eV/atom) = -4.829
- calculated volume (Å³/cell) = 91.3

(3)
A relaxed SrCaDyBiO6 crystal. Source: Alexandria, functional GGA-PBE.

a b c (Å): 5.9390 5.9390 5.9302
angles (deg): 60.62 60.62 60.88
With the nearest neighbours (Å) after each atom.
Element x y z (fractional)
Sr: 0.2518 0.2518 0.2277  5 O 2.46-2.63
Ca: 0.7493 0.7493 0.7840  5 O 2.40-2.45
Dy: 0.5001 0.5001 0.5008  6 O 2.24-2.31
Bi: 0.9999 0.9999 0.0003  6 O 2.13-2.17
O: 0.2421 0.2421 0.6527  1 Bi 2.14, 1 Dy 2.26
O: 0.7601 0.7601 0.3693  1 Bi 2.17, 1 Dy 2.31, 1 Ca 2.40
O: 0.8103 0.3213 0.1666  1 Bi 2.13, 1 Dy 2.24
O: 0.1699 0.6953 0.8159  1 Bi 2.14, 1 Dy 2.24
O: 0.6953 0.1699 0.8159  1 Bi 2.14, 1 Dy 2.24
O: 0.3213 0.8103 0.1666  1 Bi 2.13, 1 Dy 2.24

Properties
- relative energy among the computed polymorphs (meV per atom) = 0
- calculated volume (Å³/cell) = 150.3

(4)
A relaxed PaGe2Mo crystal. Source: Alexandria, functional GGA-PBE.

a b c (Å): 3.3495 3.3495 6.5553
angles (deg): 90.00 90.00 90.00
With the nearest neighbours (Å) after each atom.
Element x y z (fractional)
Mo: 0.5000 0.5000 0.5000  8 Ge 2.73
Pa: 0.5000 0.5000 0.0000  8 Ge 3.05, 2 Mo 3.28, 4 Pa 3.35
Ge: 0.0000 0.0000 0.7076  1 Ge 2.72, 4 Mo 2.73, 4 Pa 3.05
Ge: 0.0000 0.0000 0.2924  1 Ge 2.72, 4 Mo 2.73, 4 Pa 3.05

Properties
- relative energy among the computed polymorphs (meV per atom) = 163
- energy of formation (eV/atom) = -0.16
- calculated volume (Å³/cell) = 73.5

(5)
A relaxed In2P2Pb crystal. Source: Alexandria, functional GGA-PBE.

a b c (Å): 4.2530 4.2530 7.5113
angles (deg): 73.55 73.55 90.00
With the nearest neighbours (Å) after each atom.
Element x y z (fractional)
Pb: 0.0000 0.0000 0.0000  8 P 3.20
P: 0.4203 0.4203 0.1595  1 P 2.20
P: 0.5797 0.5797 0.8405  1 P 2.20
In: 0.7500 0.2500 0.5000  4 In 3.01, 4 P 3.16
In: 0.2500 0.7500 0.5000  4 In 3.01, 4 P 3.16

Properties
- relative energy among the computed polymorphs (meV per atom) = 17
- energy of formation (eV/atom) = 0.19
- calculated volume (Å³/cell) = 124.5

(6)
A relaxed Re2RuAu crystal. Source: Alexandria, functional GGA-PBE.

a b c (Å): 7.2245 7.2245 5.7525
angles (deg): 51.10 51.10 90.00
With the nearest neighbours (Å) after each atom.
Element x y z (fractional)
Re: 0.5792 0.1250 0.2500  2 Ru 2.42
Re: 0.1708 0.6250 0.2500  2 Ru 2.42
Re: 0.3750 0.4208 0.7500  2 Ru 2.42
Re: 0.8750 0.8292 0.7500  2 Ru 2.42
Au: 0.0000 0.0000 0.0000  2 Ru 2.64, 4 Re 2.88
Au: 0.7500 0.2500 0.5000  2 Ru 2.64, 4 Re 2.88
Ru: 0.5000 0.5000 0.0000  4 Re 2.42, 2 Au 2.64
Ru: 0.2500 0.7500 0.5000  4 Re 2.42, 2 Au 2.64

Properties
- relative energy among the computed polymorphs (meV per atom) = 731
- energy of formation (eV/atom) = 0.94
- calculated volume (Å³/cell) = 138.0

(7)
A relaxed MoAuSe2 crystal. Source: Alexandria, functional GGA-PBE.

a b c (Å): 6.4541 6.4541 4.9485
angles (deg): 80.76 80.76 27.91
With the nearest neighbours (Å) after each atom.
Element x y z (fractional)
Au: 0.7500 0.7500 0.7500  2 Se 2.62, 4 Mo 2.92
Mo: 0.2500 0.2500 0.2500  4 Se 2.52
Se: 0.9015 0.9015 0.0579  2 Mo 2.52, 1 Au 2.62
Se: 0.5985 0.5985 0.4421  2 Mo 2.52, 1 Au 2.62

Properties
- relative energy among the computed polymorphs (meV per atom) = 211
- calculated volume (Å³/cell) = 95.2

(8)
A relaxed SrSi2B crystal. Source: Alexandria, functional GGA-PBE.

a b c (Å): 4.7659 4.7659 7.9125
angles (deg): 72.47 72.47 90.00
With the nearest neighbours (Å) after each atom.
Element x y z (fractional)
Sr: 0.0000 0.0000 0.0000  8 Si 3.21, 4 B 3.37
Sr: 0.7500 0.2500 0.5000  8 Si 3.21, 4 B 3.37
Si: 0.3749 0.1250 0.2500  2 B 2.15, 2 Si 2.38
Si: 0.3751 0.6250 0.2500  2 B 2.15, 2 Si 2.38
Si: 0.3750 0.6251 0.7500  2 B 2.15, 2 Si 2.38
Si: 0.8750 0.6249 0.7500  2 B 2.15, 2 Si 2.38
B: 0.5000 0.5000 0.0000  4 Si 2.15
B: 0.2500 0.7500 0.5000  4 Si 2.15

Properties
- E_tot (eV/atom) = -4.666
- calculated volume (Å³/cell) = 162.6

(9)
A relaxed NaSb2TeRu crystal. Source: Alexandria, functional GGA-PBE.

a b c (Å): 5.0110 5.0110 6.0014
angles (deg): 90.00 90.00 90.00
With the nearest neighbours (Å) after each atom.
Element x y z (fractional)
Sb: 0.0000 0.5000 0.0000  2 Ru 2.51
Sb: 0.5000 0.0000 0.0000  2 Ru 2.51
Te: 0.0000 0.0000 0.5000  2 Ru 3.00
Na: 0.5000 0.5000 0.5000  4 Te 3.54, 8 Sb 3.91
Ru: 0.0000 0.0000 0.0000  4 Sb 2.51

Properties
- relative energy among the computed polymorphs (meV per atom) = 0
- calculated volume (Å³/cell) = 150.7

(10)
A relaxed OsPb crystal. Source: Alexandria, functional GGA-PBE.

a b c (Å): 7.3962 7.3962 7.3962
angles (deg): 31.88 31.88 31.88
With the nearest neighbours (Å) after each atom.
Element x y z (fractional)
Os: 0.3474 0.3474 0.3474  3 Os 2.42
Os: 0.6526 0.6526 0.6526  3 Os 2.42
Pb: 0.1016 0.1016 0.1016  3 Os 2.98
Pb: 0.8984 0.8984 0.8984  3 Os 2.98

Properties
- energy of formation (eV/atom) = 0.58
- calculated volume (Å³/cell) = 100.3